An optimized crystal structure of MnHgSeF2, computed with PBE with a Hubbard U.

POSCAR file:
```
MnHgSeF2
1.0
4.0217 0.0000 0.0000
0.0000 4.0217 0.0000
0.0000 0.0000 5.9235
Mn Hg Se F
1 1 1 2
Cartesian
0.0000 0.0000 0.0000
2.0109 2.0109 2.9618
0.0000 0.0000 2.9618
0.0000 2.0109 0.0000
2.0109 0.0000 0.0000
```

crystal system = tetragonal
calculated volume = 95.8 Å³ per cell
DFT total energy = -22.51 eV per formula unit